1.
Density functional theory data (SCAN) for a crystal of TlCd2Si relaxed with PBEsol.

Lattice parameters (Å, degrees): 6.423 6.423 5.442 114.81 114.81 25.91
Element x y z (fractional)
Tl1 0.000 0.000 0.000
Cd1 0.223 0.223 0.724
Cd2 0.777 0.777 0.276
Si1 0.500 0.500 0.500

* total magnetization: 0.0 μB per formula unit
* offset from the most stable computed form: 9 meV per atom
* E_form (uncorrected): 0.37 eV per atom
* ρ: 8.58 Mg/m³
* N(E_F): 0.420 states/eV/atom


2.
Density functional theory data (SCAN) for a crystal of Tl2CdSi relaxed with PBEsol.

Lattice parameters (Å, degrees): 3.373 3.373 8.283 90.00 90.00 90.00
Element x y z (fractional)
Tl1 0.000 0.000 0.000
Tl2 0.500 0.500 0.307
Cd1 0.000 0.000 0.572
Si1 0.500 0.500 0.760

* total magnetization: 0.0 μB per formula unit
* E_form (uncorrected): 0.34 eV per atom
* ρ: 9.68 Mg/m³
* N(E_F): 0.441 states/eV/atom


3.
Density functional theory data (SCAN) for a crystal of TlCd2Si relaxed with PBEsol.

Lattice parameters (Å, degrees): 2.985 3.968 7.435 90.00 90.00 90.00
Element x y z (fractional)
Tl1 0.000 0.000 0.000
Cd1 0.000 0.000 0.539
Cd2 0.500 0.500 0.297
Si1 0.500 0.500 0.732

* total magnetization: 0.0 μB per formula unit
* offset from the most stable computed form: 0 meV per atom
* E_form (uncorrected): 0.36 eV per atom
* ρ: 8.62 Mg/m³
* N(E_F): 0.384 states/eV/atom


4.
Density functional theory data (SCAN) for a crystal of TlCd2Si relaxed with PBEsol.

Lattice parameters (Å, degrees): 5.459 5.459 5.459 132.59 132.59 69.30
Element x y z (fractional)
Tl1 0.000 0.000 0.000
Cd1 0.250 0.750 0.500
Cd2 0.750 0.250 0.500
Si1 0.500 0.500 0.000

* total magnetization: 0.0 μB per formula unit
* offset from the most stable computed form: 50 meV per atom
* E_form (uncorrected): 0.41 eV per atom
* ρ: 8.78 Mg/m³
* N(E_F): 0.380 states/eV/atom


5.
Density functional theory data (SCAN) for a crystal of Cd2SiW relaxed with PBEsol.

Lattice parameters (Å, degrees): 3.664 3.664 5.251 90.00 90.00 90.00
Element x y z (fractional)
Cd1 0.000 0.000 0.248
Cd2 0.000 0.000 0.752
Si1 0.500 0.500 0.500
W1 0.500 0.500 0.000

* total magnetization: 0.0 μB per formula unit
* E_form (uncorrected): 0.80 eV per atom
* ρ: 10.29 Mg/m³
* N(E_F): 0.679 states/eV/atom


6.
Density functional theory data (SCAN) for a crystal of Cd2SiW relaxed with PBEsol.

Lattice parameters (Å, degrees): 5.106 5.106 2.759 90.00 90.00 90.00
Element x y z (fractional)
Cd1 0.000 0.500 0.000
Cd2 0.500 0.000 0.000
Si1 0.000 0.000 0.500
W1 0.500 0.500 0.500

* total magnetization: 0.0 μB per formula unit
* E_form (uncorrected): 0.89 eV per atom
* ρ: 10.08 Mg/m³
* N(E_F): 0.265 states/eV/atom


7.
Density functional theory data (SCAN) for a crystal of Cd2SiW relaxed with PBEsol.

Lattice parameters (Å, degrees): 2.825 4.573 5.334 90.00 90.00 90.00
Element x y z (fractional)
Cd1 0.000 0.000 0.000
Cd2 0.500 0.500 0.000
Si1 0.000 0.500 0.500
W1 0.500 0.000 0.500

* total magnetization: 0.0 μB per formula unit
* E_form (uncorrected): 0.60 eV per atom
* ρ: 10.52 Mg/m³
* N(E_F): 0.497 states/eV/atom


8.
Density functional theory data (SCAN) for a crystal of Cd2SiW relaxed with PBEsol.

Lattice parameters (Å, degrees): 4.090 6.530 6.530 24.33 90.00 90.00
Element x y z (fractional)
Cd1 0.000 0.000 0.000
Cd2 0.500 0.371 0.371
Si1 0.000 0.208 0.208
W1 0.500 0.662 0.662

* total magnetization: 0.0 μB per formula unit
* E_form (uncorrected): 0.39 eV per atom
* ρ: 10.09 Mg/m³
* N(E_F): 0.485 states/eV/atom


9.
Density functional theory data (SCAN) for a crystal of Y2CdSi relaxed with PBEsol.

Lattice parameters (Å, degrees): 3.408 3.408 8.207 90.00 90.00 90.00
Element x y z (fractional)
Y1 0.000 0.000 0.000
Y2 0.500 0.500 0.329
Cd1 0.500 0.500 0.744
Si1 0.000 0.000 0.559

* total magnetization: 0.3 μB per formula unit
* E_form (uncorrected): -0.11 eV per atom
* ρ: 5.55 Mg/m³
* N(E_F): 0.643 states/eV/atom


10.
Density functional theory data (SCAN) for a crystal of YCdSi2 relaxed with PBEsol.

Lattice parameters (Å, degrees): 3.577 3.577 6.176 90.00 90.00 90.00
Element x y z (fractional)
Y1 0.000 0.000 0.000
Cd1 0.000 0.000 0.500
Si1 0.500 0.500 0.296
Si2 0.500 0.500 0.704

* total magnetization: 0.0 μB per formula unit
* E_form (uncorrected): -0.03 eV per atom
* ρ: 5.41 Mg/m³
* N(E_F): 0.624 states/eV/atom


11.
Density functional theory data (SCAN) for a crystal of ZnCdSi2 relaxed with PBEsol.

Lattice parameters (Å, degrees): 5.507 5.507 5.507 140.24 140.24 57.49
Element x y z (fractional)
Zn1 0.000 0.000 0.000
Cd1 0.500 0.500 0.000
Si1 0.250 0.750 0.500
Si2 0.750 0.250 0.500

* total magnetization: 0.0 μB per formula unit
* E_form (uncorrected): 0.55 eV per atom
* ρ: 5.74 Mg/m³
* N(E_F): 0.356 states/eV/atom


12.
Density functional theory data (SCAN) for a crystal of Zn3CdSi relaxed with PBEsol.

Lattice parameters (Å, degrees): 4.696 4.696 4.696 90.00 90.00 90.00
Element x y z (fractional)
Zn1 0.000 0.000 0.500
Zn2 0.000 0.500 0.000
Zn3 0.500 0.000 0.000
Cd1 0.500 0.500 0.500
Si1 0.000 0.000 0.000

* total magnetization: 0.0 μB per formula unit
* E_form (uncorrected): 0.48 eV per atom
* ρ: 5.40 Mg/m³
* N(E_F): 0.437 states/eV/atom